Entry P
VASP calculation (PBE-GGA) on a relaxed structure of TbCd2Pd3.

Properties
D(E_F), states/eV/atom: 0.540
Space-group type: P-3m1

a b c (Å): 4.779 4.779 5.732
angles (deg): 90.00 90.00 120.00
Sites, in units of the cell vectors:
Cd1 0.333 0.667 0.670
Cd2 0.667 0.333 0.330
Pd1 0.000 0.000 0.500
Pd2 0.667 0.333 0.817
Pd3 0.333 0.667 0.183
Tb1 0.000 0.000 0.000

Entry Q
VASP calculation (PBE-GGA) on a relaxed structure of TbCd2Pd3.

Properties
D(E_F), states/eV/atom: 0.448
Space-group type: P-3m1

a b c (Å): 4.755 4.755 11.590
angles (deg): 90.01 89.99 120.01
Sites, in units of the cell vectors:
Cd1 0.667 0.333 0.838
Cd2 0.333 0.667 0.162
Cd3 0.000 0.000 0.000
Cd4 0.000 0.000 0.500
Pd1 0.667 0.333 0.584
Pd2 0.333 0.667 0.416
Pd3 0.000 0.000 0.241
Pd4 0.333 0.667 0.918
Pd5 0.667 0.333 0.082
Pd6 0.000 0.000 0.759
Tb1 0.667 0.333 0.330
Tb2 0.333 0.667 0.670

Short version: entry P is the least stable of them.

Entry P
VASP calculation (PBE-GGA) on a relaxed structure of Tb3CdPd4.

Properties
D(E_F), states/eV/atom: 0.391
Space-group type: Pmma

a b c (Å): 4.908 6.885 9.815
angles (deg): 90.00 90.00 90.00
Sites, in units of the cell vectors:
Tb1 0.499 0.500 0.250
Tb2 0.499 0.000 0.250
Tb3 0.000 0.000 0.000
Tb4 0.000 0.000 0.500
Tb5 0.501 0.000 0.750
Tb6 0.501 0.500 0.750
Cd1 0.000 0.500 0.000
Cd2 0.000 0.500 0.500
Pd1 0.001 0.248 0.750
Pd2 0.001 0.752 0.750
Pd3 0.500 0.248 0.000
Pd4 0.500 0.752 0.500
Pd5 0.500 0.752 0.000
Pd6 0.999 0.248 0.250
Pd7 0.500 0.248 0.500
Pd8 0.999 0.752 0.250

Entry Q
VASP calculation (PBE-GGA) on a relaxed structure of Tb3CdPd4.

Properties
D(E_F), states/eV/atom: 0.533
Space-group type: Immm

a b c (Å): 3.777 6.581 8.339
angles (deg): 113.25 103.09 90.00
Sites, in units of the cell vectors:
Cd1 0.500 0.000 0.000
Pd1 0.629 0.833 0.259
Pd2 0.629 0.426 0.259
Pd3 0.371 0.167 0.741
Pd4 0.371 0.574 0.741
Tb1 0.000 0.500 0.000
Tb2 0.807 0.806 0.613
Tb3 0.193 0.194 0.387

Short version: entry Q is the least stable of them.

Entry P
VASP calculation (PBE-GGA) on a relaxed structure of Tb2CdPd.

Properties
D(E_F), states/eV/atom: 0.748
Space-group type: P4/mmm

a b c (Å): 3.617 3.617 7.374
angles (deg): 90.00 90.00 90.00
Sites, in units of the cell vectors:
Tb1 0.000 0.000 0.773
Tb2 0.000 0.000 0.227
Pd1 0.500 0.500 0.000
Cd1 0.500 0.500 0.500

Entry Q
VASP calculation (PBE-GGA) on a relaxed structure of Tb2CdPd.

Properties
D(E_F), states/eV/atom: 0.591
Space-group type: Fm-3m

a b c (Å): 5.143 5.143 5.143
angles (deg): 60.00 60.00 60.00
Sites, in units of the cell vectors:
Cd1 0.500 0.500 0.500
Tb1 0.250 0.250 0.250
Tb2 0.750 0.750 0.750
Pd1 0.000 0.000 0.000

Entry R
VASP calculation (PBE-GGA) on a relaxed structure of Tb2CdPd.

Properties
D(E_F), states/eV/atom: 0.833
Space-group type: R-3m

a b c (Å): 3.350 3.350 10.735
angles (deg): 81.02 81.02 60.00
Sites, in units of the cell vectors:
Tb1 0.083 0.083 0.750
Tb2 0.917 0.917 0.250
Cd1 0.500 0.500 0.500
Pd1 0.000 0.000 0.000

Short version: entry R is the least stable of them.

Entry P
VASP calculation (PBE-GGA) on a relaxed structure of Tb3CdPd5.

Properties
D(E_F), states/eV/atom: 0.548
Space-group type: I4/mcm

a b c (Å): 8.202 8.202 8.173
angles (deg): 120.12 120.12 90.00
Sites, in units of the cell vectors:
Tb1 0.750 0.750 0.500
Tb2 0.871 0.629 0.000
Tb3 0.250 0.250 0.500
Tb4 0.129 0.371 0.000
Tb5 0.371 0.871 0.000
Tb6 0.629 0.129 0.000
Pd1 0.000 0.000 0.000
Pd2 0.440 0.332 0.272
Pd3 0.940 0.440 0.272
Pd4 0.668 0.168 0.728
Pd5 0.832 0.940 0.272
Pd6 0.060 0.560 0.728
Pd7 0.500 0.500 0.000
Pd8 0.332 0.832 0.272
Pd9 0.560 0.668 0.728
Pd10 0.168 0.060 0.728
Cd1 0.250 0.750 0.500
Cd2 0.750 0.250 0.500

Entry Q
VASP calculation (PBE-GGA) on a relaxed structure of Tb3CdPd5.

Properties
D(E_F), states/eV/atom: 0.587
Space-group type: P6_3/mcm

a b c (Å): 5.806 8.502 8.504
angles (deg): 119.99 90.00 90.00
Sites, in units of the cell vectors:
Pd1 0.250 0.692 0.000
Pd2 0.750 0.308 0.000
Pd3 0.000 0.667 0.333
Pd4 0.250 0.308 0.308
Pd5 0.500 0.667 0.333
Pd6 0.000 0.333 0.667
Pd7 0.750 0.692 0.692
Pd8 0.750 0.000 0.308
Pd9 0.250 0.000 0.692
Pd10 0.500 0.333 0.667
Tb1 0.750 0.638 0.000
Tb2 0.250 0.362 0.000
Tb3 0.250 0.000 0.362
Tb4 0.250 0.638 0.638
Tb5 0.750 0.362 0.362
Tb6 0.750 0.000 0.638
Cd1 0.500 0.000 0.000
Cd2 0.000 0.000 0.000

Short version: entry P is the least stable of them.